1.
## SrAg4 (PBEsol)

Data for a relaxed SrAg4 crystal.

Cell lengths 9.583, 9.583, 9.583 Å; angles 90.00, 90.00, 90.00 degrees
Space group I-43m (No. 217)
Symmetry-distinct sites (fractional):
Sr: 0.216 0.216 0.216 (multiplicity 8)
Ag: 0.000 0.000 0.354 (multiplicity 12)
Ag: 0.000 0.250 0.500 (multiplicity 12)
Ag: 0.103 0.103 0.897 (multiplicity 8)

Values from the calculation:
The value obtained for the calculated formation energy is -10 kJ/mol of atoms. The calculation puts the density of states at the Fermi level at 1.80 states/eV/f.u. Its final energy is -124.638 eV per cell.

2.
## TlAsIr2 (PBEsol)

Data for a relaxed TlAsIr2 crystal.

Cell lengths 3.027, 5.319, 8.586 Å; angles 90.00, 90.00, 90.00 degrees
Space group Immm (No. 71)
Symmetry-distinct sites (fractional):
Tl: 0.000 0.000 0.000 (multiplicity 2)
As: 0.000 0.000 0.500 (multiplicity 2)
Ir: 0.000 0.500 0.220 (multiplicity 4)

Values from the calculation:
As for the energy above the most stable polymorph in this dataset: 1.005 eV/f.u. The value obtained for the calculated formation energy is 52 kJ/mol of atoms. The calculation puts the density of states at the Fermi level at 2.91 states/eV/f.u. Its final energy is -50.457 eV per cell.

3.
## Be2GePt2 (PBEsol)

Data for a relaxed Be2GePt2 crystal.

Cell lengths 3.223, 3.223, 12.426 Å; angles 90.00, 90.00, 90.00 degrees
Space group I4/mmm (No. 139)
Symmetry-distinct sites (fractional):
Be: 0.000 0.500 0.250 (multiplicity 4)
Ge: 0.000 0.000 0.000 (multiplicity 2)
Pt: 0.000 0.000 0.386 (multiplicity 4)

Values from the calculation:
The value obtained for the calculated formation energy is -42 kJ/mol of atoms. The calculation puts the density of states at the Fermi level at 1.36 states/eV/f.u. Its final energy is -58.042 eV per cell.

4.
## LiTlRe (PBEsol)

Data for a relaxed LiTlRe crystal.

Cell lengths 3.275, 4.496, 14.046 Å; angles 90.00, 90.00, 90.00 degrees
Space group Fmm2 (No. 42)
Symmetry-distinct sites (fractional):
Li: 0.000 0.000 0.000 (multiplicity 4)
Tl: 0.000 0.000 0.326 (multiplicity 4)
Re: 0.000 0.000 0.652 (multiplicity 4)

Values from the calculation:
As for the energy above the most stable polymorph in this dataset: 0.013 eV/f.u. The value obtained for the calculated formation energy is 57 kJ/mol of atoms. The calculation puts the density of states at the Fermi level at 1.26 states/eV/f.u. Its final energy is -64.642 eV per cell.

Repeat the first record exactly.
## SrAg4 (PBEsol)

Data for a relaxed SrAg4 crystal.

Cell lengths 9.583, 9.583, 9.583 Å; angles 90.00, 90.00, 90.00 degrees
Space group I-43m (No. 217)
Symmetry-distinct sites (fractional):
Sr: 0.216 0.216 0.216 (multiplicity 8)
Ag: 0.000 0.000 0.354 (multiplicity 12)
Ag: 0.000 0.250 0.500 (multiplicity 12)
Ag: 0.103 0.103 0.897 (multiplicity 8)

Values from the calculation:
The value obtained for the calculated formation energy is -10 kJ/mol of atoms. The calculation puts the density of states at the Fermi level at 1.80 states/eV/f.u. Its final energy is -124.638 eV per cell.

Repeat the third record exactly.
## Be2GePt2 (PBEsol)

Data for a relaxed Be2GePt2 crystal.

Cell lengths 3.223, 3.223, 12.426 Å; angles 90.00, 90.00, 90.00 degrees
Space group I4/mmm (No. 139)
Symmetry-distinct sites (fractional):
Be: 0.000 0.500 0.250 (multiplicity 4)
Ge: 0.000 0.000 0.000 (multiplicity 2)
Pt: 0.000 0.000 0.386 (multiplicity 4)

Values from the calculation:
The value obtained for the calculated formation energy is -42 kJ/mol of atoms. The calculation puts the density of states at the Fermi level at 1.36 states/eV/f.u. Its final energy is -58.042 eV per cell.

Question: Look up the calculated formation energy of the first one.
Answer: -10 kJ/mol of atoms

Repeat the second record exactly.
## TlAsIr2 (PBEsol)

Data for a relaxed TlAsIr2 crystal.

Cell lengths 3.027, 5.319, 8.586 Å; angles 90.00, 90.00, 90.00 degrees
Space group Immm (No. 71)
Symmetry-distinct sites (fractional):
Tl: 0.000 0.000 0.000 (multiplicity 2)
As: 0.000 0.000 0.500 (multiplicity 2)
Ir: 0.000 0.500 0.220 (multiplicity 4)

Values from the calculation:
As for the energy above the most stable polymorph in this dataset: 1.005 eV/f.u. The value obtained for the calculated formation energy is 52 kJ/mol of atoms. The calculation puts the density of states at the Fermi level at 2.91 states/eV/f.u. Its final energy is -50.457 eV per cell.